1.
Entry from Alexandria via LeMat-Bulk: crystalline SrMgRe2 at its relaxed geometry (GGA-PBE).

Lattice parameters (Å, degrees): 5.782 5.782 5.782 147.25 132.97 58.49
Fractional coordinates of all 4 atoms:
Sr (0.000, 0.000, 0.000)
Mg (0.500, 0.500, 0.000)
Re (0.261, 0.761, 0.500)
Re (0.739, 0.239, 0.500)

Energy of formation from the pure elements ... 973 meV/atom

---

2.
Entry from Alexandria via LeMat-Bulk: crystalline ZnNiCl at its relaxed geometry (GGA-PBE).

Lattice parameters (Å, degrees): 6.277 5.862 3.159 82.34 67.75 29.92
Fractional coordinates of all 3 atoms:
Zn (0.000, 0.000, 0.000)
Ni (0.658, 0.658, 0.342)
Cl (0.319, 0.319, 0.681)

E_form (uncorrected) ... 9 kJ/mol of formula units
Polymorph energy (0 for the lowest one) ... 91 meV/atom

---

3.
Entry from Alexandria via LeMat-Bulk: crystalline Pm8As3Se4 at its relaxed geometry (GGA-PBE).

Lattice parameters (Å, degrees): 8.379 8.379 8.382 119.92 119.92 90.11
Fractional coordinates of all 15 atoms:
Pm (0.245, 0.245, 0.995)
Pm (0.246, 0.754, 0.000)
Pm (0.249, 0.249, 0.495)
Pm (0.249, 0.751, 0.500)
Pm (0.751, 0.249, 0.500)
Pm (0.751, 0.751, 0.505)
Pm (0.754, 0.246, 0.000)
Pm (0.755, 0.755, 0.005)
As (0.000, 0.000, 0.000)
As (0.000, 0.500, 0.500)
As (0.500, 0.000, 0.500)
Se (0.000, 0.000, 0.500)
Se (0.000, 0.500, 0.000)
Se (0.500, 0.000, 0.000)
Se (0.500, 0.500, 0.000)

E_form (uncorrected) ... -2325 kJ/mol of formula units

---

4.
Entry from Alexandria via LeMat-Bulk: crystalline Mg2Ag5Au5 at its relaxed geometry (GGA-PBE).

Lattice parameters (Å, degrees): 6.560 6.560 9.234 114.84 114.84 37.15
Fractional coordinates of all 12 atoms:
Mg (0.157, 0.157, 0.498)
Mg (0.843, 0.843, 0.502)
Ag (0.000, 0.000, 0.000)
Ag (0.084, 0.084, 0.755)
Ag (0.252, 0.252, 0.249)
Ag (0.748, 0.748, 0.751)
Ag (0.916, 0.916, 0.245)
Au (0.337, 0.337, 0.000)
Au (0.405, 0.405, 0.733)
Au (0.500, 0.500, 0.500)
Au (0.595, 0.595, 0.267)
Au (0.663, 0.663, 0.000)

Energy of formation from the pure elements ... -199 meV/atom
Polymorph energy (0 for the lowest one) ... 15 meV/atom